Density functional theory data (PBE-GGA) for crystalline Mg5InGa6 at its relaxed geometry.

Results
ΔH_f (0 K): -1.271 eV per formula unit
E: -2.51 eV/atom

Cell lengths 4.387, 8.335, 12.973 Å; angles 90.00, 90.00, 90.00 degrees
Space group Immm (No. 71)
Asymmetric unit:
Mg 0.000 0.000 0.000 x2
Mg 0.000 0.000 0.338 x4
Mg 0.000 0.500 0.331 x4
In 0.000 0.500 0.000 x2
Ga 0.000 0.244 0.171 x8
Ga 0.000 0.262 0.500 x4

---

Density functional theory data (PBE-GGA) for crystalline ScPd12Au6 at its relaxed geometry.

Results
ΔH_f (0 K): -1.954 eV per formula unit
E: -4.75 eV/atom

Cell lengths 9.8269, 9.8269, 11.5630 Å; angles 90.00, 90.00, 120.00 degrees
Space group R-3 (No. 148, hexagonal axes)
Asymmetric unit:
Sc 0.0000 0.0000 0.0000 x3
Pd 0.0393 0.8562 0.8131 x18
Pd 0.0616 0.2063 0.4092 x18
Au 0.0233 0.5891 0.7088 x18

---

What is the formula in the first record? Mg5InGa6